# 1
{
  "formula": "Cs2CoGePb",
  "functional": "SCAN",
  "state": "PBEsol geometry",
  "energy_ev_per_atom": -36.8337,
  "total_magnetization_mub_per_cell": 4.393,
  "formation_enthalpy_0k_ev_per_atom": 0.725,
  "lattice": [[7.160, 0.000, 0.000], [0.000, 7.160, 0.000], [0.000, 0.000, 4.848]],
  "species": ["Cs", "Cs", "Co", "Ge", "Pb"],
  "frac_coords": [[0.000, 0.500, 0.000], [0.500, 0.000, 0.000], [0.000, 0.000, 0.500], [0.500, 0.500, 0.500], [0.000, 0.000, 0.000]]
}


# 2
{
  "formula": "Cs2CoH12S2O14",
  "functional": "SCAN",
  "state": "PBEsol geometry",
  "energy_ev_per_atom": -9.1740,
  "total_magnetization_mub_per_cell": 6.000,
  "lattice": [[6.331, 0.000, 0.000], [0.000, 12.674, 0.000], [-2.657, 0.000, 8.734]],
  "species": ["Cs", "Cs", "Cs", "Cs", "Co", "Co", "H", "H", "H", "H", "H", "H", "H", "H", "H", "H", "H", "H", "H", "H", "H", "H", "H", "H", "H", "H", "H", "H", "H", "H", "S", "S", "S", "S", "O", "O", "O", "O", "O", "O", "O", "O", "O", "O", "O", "O", "O", "O", "O", "O", "O", "O", "O", "O", "O", "O", "O", "O", "O", "O", "O", "O"],
  "frac_coords": [[0.146, 0.146, 0.365], [0.146, 0.354, 0.865], [0.854, 0.646, 0.135], [0.854, 0.854, 0.635], [0.500, 0.000, 0.000], [0.500, 0.500, 0.500], [0.164, 0.560, 0.600], [0.164, 0.940, 0.100], [0.179, 0.100, 0.792], [0.179, 0.400, 0.292], [0.194, 0.643, 0.479], [0.194, 0.857, 0.979], [0.415, 0.130, 0.762], [0.415, 0.370, 0.262], [0.423, 0.595, 0.218], [0.423, 0.905, 0.718], [0.482, 0.685, 0.348], [0.482, 0.815, 0.848], [0.518, 0.185, 0.152], [0.518, 0.315, 0.652], [0.577, 0.095, 0.282], [0.577, 0.405, 0.782], [0.585, 0.630, 0.738], [0.585, 0.870, 0.238], [0.806, 0.143, 0.021], [0.806, 0.357, 0.521], [0.821, 0.600, 0.708], [0.821, 0.900, 0.208], [0.836, 0.060, 0.900], [0.836, 0.440, 0.400], [0.241, 0.644, 0.897], [0.241, 0.856, 0.397], [0.759, 0.144, 0.603], [0.759, 0.356, 0.103], [0.098, 0.583, 0.765], [0.098, 0.917, 0.265], [0.113, 0.737, 0.925], [0.113, 0.763, 0.425], [0.208, 0.566, 0.503], [0.208, 0.934, 0.004], [0.301, 0.574, 0.033], [0.301, 0.926, 0.533], [0.339, 0.114, 0.841], [0.339, 0.386, 0.341], [0.443, 0.682, 0.860], [0.443, 0.818, 0.360], [0.490, 0.109, 0.173], [0.490, 0.391, 0.673], [0.510, 0.609, 0.327], [0.510, 0.891, 0.827], [0.557, 0.182, 0.640], [0.557, 0.318, 0.140], [0.661, 0.614, 0.659], [0.661, 0.886, 0.159], [0.699, 0.074, 0.467], [0.699, 0.426, 0.967], [0.792, 0.066, 0.996], [0.792, 0.434, 0.496], [0.887, 0.237, 0.575], [0.887, 0.263, 0.075], [0.902, 0.083, 0.735], [0.902, 0.417, 0.235]]
}


# 3
{
  "formula": "Cs2HfCo",
  "functional": "SCAN",
  "state": "PBEsol geometry",
  "energy_ev_per_atom": -37.0431,
  "total_magnetization_mub_per_cell": 0.986,
  "formation_enthalpy_0k_ev_per_atom": 1.857,
  "lattice": [[0.000, 4.044, 4.044], [4.044, 0.000, 4.044], [4.044, 4.044, 0.000]],
  "species": ["Cs", "Cs", "Hf", "Co"],
  "frac_coords": [[0.250, 0.250, 0.250], [0.750, 0.750, 0.750], [0.000, 0.000, 0.000], [0.500, 0.500, 0.500]]
}


# 4
{
  "formula": "Cs3CoI5",
  "functional": "SCAN",
  "state": "PBEsol geometry",
  "energy_ev_per_atom": -36.2048,
  "total_magnetization_mub_per_cell": 12.079,
  "e_form_raw_ev_per_atom": -1.267,
  "lattice": [[9.756, 0.000, 0.000], [0.000, 11.461, 0.000], [0.000, 0.000, 14.466]],
  "species": ["Cs", "Cs", "Cs", "Cs", "Cs", "Cs", "Cs", "Cs", "Cs", "Cs", "Cs", "Cs", "Co", "Co", "Co", "Co", "I", "I", "I", "I", "I", "I", "I", "I", "I", "I", "I", "I", "I", "I", "I", "I", "I", "I", "I", "I"],
  "frac_coords": [[0.082, 0.013, 0.172], [0.082, 0.487, 0.172], [0.084, 0.250, 0.454], [0.416, 0.750, 0.954], [0.418, 0.513, 0.672], [0.418, 0.987, 0.672], [0.582, 0.013, 0.328], [0.582, 0.487, 0.328], [0.584, 0.250, 0.046], [0.916, 0.750, 0.546], [0.918, 0.513, 0.828], [0.918, 0.987, 0.828], [0.186, 0.250, 0.894], [0.314, 0.750, 0.394], [0.686, 0.250, 0.606], [0.814, 0.750, 0.106], [0.031, 0.750, 0.010], [0.138, 0.250, 0.722], [0.169, 0.750, 0.740], [0.192, 0.562, 0.435], [0.192, 0.938, 0.435], [0.308, 0.062, 0.935], [0.308, 0.438, 0.935], [0.331, 0.250, 0.240], [0.362, 0.750, 0.222], [0.469, 0.250, 0.510], [0.531, 0.750, 0.490], [0.638, 0.250, 0.778], [0.669, 0.750, 0.760], [0.692, 0.562, 0.065], [0.692, 0.938, 0.065], [0.808, 0.062, 0.565], [0.808, 0.438, 0.565], [0.831, 0.250, 0.260], [0.862, 0.750, 0.278], [0.969, 0.250, 0.990]]
}


# 5
{
  "formula": "Cs2Pr10Co2I17",
  "functional": "SCAN",
  "state": "PBEsol geometry",
  "energy_ev_per_atom": -39.0470,
  "total_magnetization_mub_per_cell": 0.008,
  "e_form_raw_ev_per_atom": -1.367,
  "lattice": [[6.724, -9.297, 0.000], [6.724, 9.297, 0.000], [-0.973, 0.000, 9.703]],
  "species": ["Cs", "Cs", "Pr", "Pr", "Pr", "Pr", "Pr", "Pr", "Pr", "Pr", "Pr", "Pr", "Co", "Co", "I", "I", "I", "I", "I", "I", "I", "I", "I", "I", "I", "I", "I", "I", "I", "I", "I"],
  "frac_coords": [[0.170, 0.830, 0.000], [0.830, 0.170, 0.000], [0.172, 0.172, 0.442], [0.206, 0.509, 0.571], [0.294, 0.294, 0.815], [0.439, 0.439, 0.324], [0.491, 0.794, 0.429], [0.509, 0.206, 0.571], [0.561, 0.561, 0.676], [0.706, 0.706, 0.185], [0.794, 0.491, 0.429], [0.828, 0.828, 0.558], [0.357, 0.357, 0.569], [0.643, 0.643, 0.431], [0.032, 0.692, 0.583], [0.060, 0.060, 0.719], [0.113, 0.450, 0.864], [0.214, 0.214, 0.128], [0.251, 0.599, 0.268], [0.308, 0.968, 0.417], [0.401, 0.749, 0.732], [0.450, 0.113, 0.864], [0.500, 0.500, 0.000], [0.550, 0.887, 0.136], [0.599, 0.251, 0.268], [0.692, 0.032, 0.583], [0.749, 0.401, 0.732], [0.786, 0.786, 0.872], [0.887, 0.550, 0.136], [0.940, 0.940, 0.281], [0.968, 0.308, 0.417]]
}


# 6
{
  "formula": "CsCoTeI2",
  "functional": "SCAN",
  "state": "PBEsol geometry",
  "energy_ev_per_atom": -33.6446,
  "total_magnetization_mub_per_cell": 2.861,
  "e_form_raw_ev_per_atom": -0.475,
  "lattice": [[5.644, 0.000, 0.000], [0.000, 5.644, 0.000], [0.000, 0.000, 4.857]],
  "species": ["Cs", "Co", "Te", "I", "I"],
  "frac_coords": [[0.000, 0.000, 0.000], [0.500, 0.500, 0.500], [0.500, 0.500, 0.000], [0.000, 0.500, 0.500], [0.500, 0.000, 0.500]]
}


# 7
{
  "formula": "Cs2TiCoI",
  "functional": "SCAN",
  "state": "PBEsol geometry",
  "energy_ev_per_atom": -28.9031,
  "total_magnetization_mub_per_cell": 1.535,
  "e_form_raw_ev_per_atom": 0.236,
  "lattice": [[6.736, 0.000, 0.000], [0.000, 6.736, 0.000], [0.000, 0.000, 4.237]],
  "species": ["Cs", "Cs", "Ti", "Co", "I"],
  "frac_coords": [[0.000, 0.500, 0.000], [0.500, 0.000, 0.000], [0.000, 0.000, 0.500], [0.000, 0.000, 0.000], [0.500, 0.500, 0.500]]
}


# 8
{
  "formula": "CsInCo3",
  "functional": "SCAN",
  "state": "PBEsol geometry",
  "energy_ev_per_atom": -22.3174,
  "total_magnetization_mub_per_cell": 4.277,
  "formation_enthalpy_0k_ev_per_atom": 2.305,
  "lattice": [[4.671, 0.000, 0.000], [0.000, 4.671, 0.000], [0.000, 0.000, 4.671]],
  "species": ["Cs", "In", "Co", "Co", "Co"],
  "frac_coords": [[0.000, 0.000, 0.000], [0.500, 0.500, 0.500], [0.000, 0.000, 0.500], [0.000, 0.500, 0.000], [0.500, 0.000, 0.000]]
}


# 9
{
  "formula": "CsKCo2",
  "functional": "SCAN",
  "state": "PBEsol geometry",
  "energy_ev_per_atom": -18.9936,
  "total_magnetization_mub_per_cell": 4.035,
  "formation_enthalpy_0k_ev_per_atom": 1.193,
  "lattice": [[0.000, 3.899, 3.899], [3.899, 0.000, 3.899], [3.899, 3.899, 0.000]],
  "species": ["Cs", "K", "Co", "Co"],
  "frac_coords": [[0.000, 0.000, 0.000], [0.500, 0.500, 0.500], [0.250, 0.250, 0.250], [0.750, 0.750, 0.750]]
}


# 10
{
  "formula": "CsK2CoO2",
  "functional": "SCAN",
  "state": "PBEsol geometry",
  "energy_ev_per_atom": -15.2845,
  "total_magnetization_mub_per_cell": 2.000,
  "e_form_raw_ev_per_atom": -1.245,
  "lattice": [[-2.618, 2.618, 4.815], [2.618, -2.618, 4.815], [2.618, 2.618, -4.815]],
  "species": ["Cs", "K", "K", "Co", "O", "O"],
  "frac_coords": [[0.000, 0.000, 0.000], [0.250, 0.750, 0.500], [0.750, 0.250, 0.500], [0.500, 0.500, 0.000], [0.320, 0.320, 0.000], [0.680, 0.680, 0.000]]
}


# 11
{
  "formula": "CsMgTiCo2",
  "functional": "SCAN",
  "state": "PBEsol geometry",
  "energy_ev_per_atom": -16.3944,
  "total_magnetization_mub_per_cell": 4.768,
  "formation_enthalpy_0k_ev_per_atom": 2.290,
  "lattice": [[4.624, 0.000, 0.000], [0.000, 4.624, 0.000], [0.000, 0.000, 5.334]],
  "species": ["Cs", "Mg", "Ti", "Co", "Co"],
  "frac_coords": [[0.000, 0.000, 0.000], [0.000, 0.000, 0.500], [0.500, 0.500, 0.500], [0.000, 0.500, 0.000], [0.500, 0.000, 0.000]]
}


# 12
{
  "formula": "CsCoMoPt2",
  "functional": "SCAN",
  "state": "PBEsol geometry",
  "energy_ev_per_atom": -44.5514,
  "total_magnetization_mub_per_cell": 6.907,
  "formation_enthalpy_0k_ev_per_atom": 1.526,
  "lattice": [[4.675, 0.000, 0.000], [0.000, 4.675, 0.000], [0.000, 0.000, 4.952]],
  "species": ["Cs", "Co", "Mo", "Pt", "Pt"],
  "frac_coords": [[0.000, 0.000, 0.000], [0.000, 0.000, 0.500], [0.500, 0.500, 0.000], [0.000, 0.500, 0.500], [0.500, 0.000, 0.500]]
}